# WI

Crystalline WI at its relaxed geometry (PBE-GGA, OQMD via LeMat-Bulk).

a = 5.7316 Å, b = 5.7316 Å, c = 5.7316 Å
α = 90.00°, β = 90.00°, γ = 90.00°
Space group Fm-3m (No. 225)
Unique sites:
1 W 0.0000 0.0000 0.0000 [4 per cell]
2 I 0.0000 0.0000 0.5000 [4 per cell]

Computed properties:
Calculated density ... 11.0 Mg/m³
Total energy ... -4.985 eV/atom